(1)
This record from Alexandria describes a relaxed AlTe2PbI crystal. The functional is PBE.

Lattice parameters (Å, degrees): 5.883 5.883 6.288 90.00 90.00 90.00
Fractional coordinates of all 5 atoms:
1 Pb 0.000 0.000 0.000
2 I 0.000 0.000 0.500
3 Te 0.000 0.500 0.000
4 Te 0.500 0.000 0.000
5 Al 0.500 0.500 0.500

(2)
This record from Alexandria describes a relaxed AlTePbI2 crystal. The functional is PBE.

Lattice parameters (Å, degrees): 5.507 5.507 5.630 90.00 90.00 90.00
Fractional coordinates of all 5 atoms:
1 Pb 0.500 0.500 0.500
2 I 0.000 0.500 0.000
3 I 0.500 0.000 0.000
4 Te 0.000 0.000 0.500
5 Al 0.000 0.000 0.000

no.,formation energy (no corrections) (meV/atom),ρ (g/cm³),relative energy among the computed polymorphs (meV per atom)
1,402,4.70,447
2,-103,5.99,0